Entry 1:
The following is a GGA-PBE calculation of a relaxed Ce7Sn5Bi crystal, from the Alexandria database.

Summary:
SG: Imm2 (44)
size of the total moment: 5.9 μB/f.u.
energy: -5.475 eV/atom
DOS(E_F): 37.33 states/eV per cell

a b c (Å): 8.442 8.442 8.442
angles (deg): 135.78 96.53 99.77
Positions (direct):
Ce1 0.000 0.000 0.000
Ce2 0.301 0.633 0.668
Ce3 0.380 0.380 0.000
Ce4 0.465 0.126 0.339
Ce5 0.788 0.126 0.661
Ce6 0.816 0.316 0.500
Ce7 0.965 0.633 0.332
Sn1 0.127 0.134 0.492
Sn2 0.127 0.635 0.993
Sn3 0.376 0.876 0.500
Sn4 0.641 0.134 0.007
Sn5 0.641 0.635 0.508
Bi1 0.676 0.676 0.000

=====

Entry 2:
The following is a GGA-PBE calculation of a relaxed SrCeSnBi crystal, from the Alexandria database.

Summary:
SG: F-43m (216)
size of the total moment: 1.1 μB/f.u.
energy: -4.408 eV/atom
DOS(E_F): 8.20 states/eV per cell

a b c (Å): 5.669 5.669 5.669
angles (deg): 60.00 60.00 60.00
Positions (direct):
Sr1 0.000 0.000 0.000
Ce1 0.500 0.500 0.500
Sn1 0.750 0.750 0.750
Bi1 0.250 0.250 0.250

=====

Entry 3:
The following is a GGA-PBE calculation of a relaxed Ce4SnBiTe2 crystal, from the Alexandria database.

Summary:
SG: P2/m (10)
size of the total moment: 4.0 μB/f.u.
formation energy (no corrections): -8.2 eV/f.u.
DOS(E_F): 28.16 states/eV per cell

a b c (Å): 7.775 4.555 7.893
angles (deg): 90.00 109.74 90.00
Positions (direct):
Ce1 0.248 0.000 0.245
Ce2 0.250 0.500 0.754
Ce3 0.750 0.500 0.246
Ce4 0.752 0.000 0.755
Sn1 0.000 0.500 0.000
Bi1 0.000 0.000 0.500
Te1 0.500 0.000 0.000
Te2 0.500 0.500 0.500

=====

Entry 4:
The following is a GGA-PBE calculation of a relaxed Ce4SnBi2Te crystal, from the Alexandria database.

Summary:
SG: P2/m (10)
size of the total moment: 3.5 μB/f.u.
formation energy (no corrections): -7.0 eV/f.u.
DOS(E_F): 26.93 states/eV per cell

a b c (Å): 7.856 4.570 7.891
angles (deg): 90.00 109.65 90.00
Positions (direct):
Ce1 0.246 0.000 0.244
Ce2 0.249 0.500 0.754
Ce3 0.751 0.500 0.246
Ce4 0.754 0.000 0.756
Sn1 0.000 0.500 0.000
Bi1 0.000 0.000 0.500
Bi2 0.500 0.500 0.500
Te1 0.500 0.000 0.000

=====

Entry 5:
The following is a GGA-PBE calculation of a relaxed SrCeBi2 crystal, from the Alexandria database.

Summary:
SG: R-3m (166)
size of the total moment: 0.1 μB/f.u.
energy: -4.658 eV/atom
DOS(E_F): 0.76 states/eV per cell

a b c (Å): 8.146 8.146 8.146
angles (deg): 33.56 33.56 33.56
Positions (direct):
Sr1 0.000 0.000 0.000
Ce1 0.500 0.500 0.500
Bi1 0.241 0.241 0.241
Bi2 0.759 0.759 0.759

=====

Entry 6:
The following is a GGA-PBE calculation of a relaxed SrCeBi2 crystal, from the Alexandria database.

Summary:
SG: P4/mmm (123)
size of the total moment: 0.9 μB/f.u.
energy: -4.534 eV/atom
DOS(E_F): 7.17 states/eV per cell

a b c (Å): 4.144 4.144 7.771
angles (deg): 90.00 90.00 90.00
Positions (direct):
Sr1 0.000 0.000 0.000
Ce1 0.000 0.000 0.500
Bi1 0.500 0.500 0.270
Bi2 0.500 0.500 0.730

=====

Entry 7:
The following is a GGA-PBE calculation of a relaxed SrCe2Bi9 crystal, from the Alexandria database.

Summary:
SG: P4/mmm (123)
size of the total moment: 1.4 μB/f.u.
energy: -4.490 eV/atom
DOS(E_F): 14.61 states/eV per cell

a b c (Å): 4.962 4.962 15.244
angles (deg): 90.00 90.00 90.00
Positions (direct):
Sr1 0.000 0.000 0.000
Ce1 0.000 0.000 0.341
Ce2 0.000 0.000 0.659
Bi1 0.000 0.500 0.174
Bi2 0.000 0.500 0.500
Bi3 0.000 0.500 0.826
Bi4 0.500 0.000 0.174
Bi5 0.500 0.000 0.500
Bi6 0.500 0.000 0.826
Bi7 0.500 0.500 0.000
Bi8 0.500 0.500 0.334
Bi9 0.500 0.500 0.666

=====

Entry 8:
The following is a GGA-PBE calculation of a relaxed SrCeBi2 crystal, from the Alexandria database.

Summary:
SG: R3m (160)
size of the total moment: 0.1 μB/f.u.
energy: -4.539 eV/atom
DOS(E_F): 2.01 states/eV per cell

a b c (Å): 8.674 8.674 8.674
angles (deg): 30.52 30.52 30.52
Positions (direct):
Sr1 0.000 0.000 0.000
Ce1 0.830 0.830 0.830
Bi1 0.420 0.420 0.420
Bi2 0.575 0.575 0.575

=====

Entry 9:
The following is a GGA-PBE calculation of a relaxed SrCeBi2 crystal, from the Alexandria database.

Summary:
SG: Fm-3m (225)
size of the total moment: 0.8 μB/f.u.
energy: -4.490 eV/atom
DOS(E_F): 7.76 states/eV per cell

a b c (Å): 5.733 5.733 5.733
angles (deg): 60.00 60.00 60.00
Positions (direct):
Sr1 0.000 0.000 0.000
Ce1 0.500 0.500 0.500
Bi1 0.250 0.250 0.250
Bi2 0.750 0.750 0.750

=====

Entry 10:
The following is a GGA-PBE calculation of a relaxed SrCe4Bi5 crystal, from the Alexandria database.

Summary:
SG: Immm (71)
size of the total moment: 3.0 μB/f.u.
energy: -5.280 eV/atom
DOS(E_F): 22.63 states/eV per cell

a b c (Å): 12.323 12.323 12.323
angles (deg): 158.29 149.14 38.05
Positions (direct):
Sr1 0.000 0.000 0.000
Ce1 0.202 0.202 0.000
Ce2 0.401 0.401 0.000
Ce3 0.599 0.599 0.000
Ce4 0.798 0.798 0.000
Bi1 0.107 0.607 0.500
Bi2 0.301 0.801 0.500
Bi3 0.500 0.000 0.500
Bi4 0.699 0.199 0.500
Bi5 0.893 0.393 0.500

=====

Entry 11:
The following is a GGA-PBE calculation of a relaxed SrCe5Bi6 crystal, from the Alexandria database.

Summary:
SG: C2/m (12)
size of the total moment: 0.9 μB/f.u.
energy: -5.352 eV/atom
DOS(E_F): 29.95 states/eV per cell

a b c (Å): 8.035 8.035 8.039
angles (deg): 99.58 99.58 119.90
Positions (direct):
Sr1 0.000 0.000 0.000
Ce1 0.163 0.837 0.500
Ce2 0.332 0.668 0.000
Ce3 0.500 0.500 0.500
Ce4 0.668 0.332 0.000
Ce5 0.837 0.163 0.500
Bi1 0.086 0.428 0.256
Bi2 0.258 0.258 0.747
Bi3 0.428 0.086 0.256
Bi4 0.572 0.914 0.744
Bi5 0.742 0.742 0.253
Bi6 0.914 0.572 0.744

=====

Entry 12:
The following is a GGA-PBE calculation of a relaxed Sr5CeBi5 crystal, from the Alexandria database.

Summary:
SG: C2/m (12)
size of the total moment: 0.0 μB/f.u.
energy: -3.811 eV/atom
DOS(E_F): 12.12 states/eV per cell

a b c (Å): 8.504 8.504 9.478
angles (deg): 106.70 106.70 46.20
Positions (direct):
Sr1 0.000 0.000 0.000
Sr2 0.313 0.313 0.176
Sr3 0.322 0.322 0.646
Sr4 0.678 0.678 0.354
Sr5 0.687 0.687 0.824
Ce1 0.000 0.000 0.500
Bi1 0.148 0.148 0.332
Bi2 0.158 0.158 0.822
Bi3 0.500 0.500 0.500
Bi4 0.842 0.842 0.178
Bi5 0.852 0.852 0.668

=====

Entry 13:
The following is a GGA-PBE calculation of a relaxed Sr2CeBi3 crystal, from the Alexandria database.

Summary:
SG: Immm (71)
size of the total moment: 0.0 μB/f.u.
energy: -4.224 eV/atom
DOS(E_F): 7.63 states/eV per cell

a b c (Å): 8.437 8.437 8.437
angles (deg): 148.57 133.30 57.38
Positions (direct):
Sr1 0.175 0.175 0.000
Sr2 0.825 0.825 0.000
Ce1 0.500 0.500 0.000
Bi1 0.000 0.500 0.500
Bi2 0.350 0.850 0.500
Bi3 0.650 0.150 0.500

=====

Entry 14:
The following is a GGA-PBE calculation of a relaxed SrCe2Bi3 crystal, from the Alexandria database.

Summary:
SG: C2/c (15)
size of the total moment: 1.0 μB/f.u.
energy: -5.005 eV/atom
DOS(E_F): 16.74 states/eV per cell

a b c (Å): 8.106 8.106 9.339
angles (deg): 106.74 106.74 47.91
Positions (direct):
Sr1 0.000 0.000 0.250
Sr2 0.000 0.000 0.750
Ce1 0.336 0.336 0.418
Ce2 0.336 0.336 0.918
Ce3 0.664 0.664 0.082
Ce4 0.664 0.664 0.582
Bi1 0.179 0.179 0.089
Bi2 0.179 0.179 0.589
Bi3 0.499 0.501 0.750
Bi4 0.501 0.499 0.250
Bi5 0.821 0.821 0.411
Bi6 0.821 0.821 0.911

=====

Entry 15:
The following is a GGA-PBE calculation of a relaxed Sr2TbCeBi4 crystal, from the Alexandria database.

Summary:
SG: P2/m (10)
size of the total moment: 0.0 μB/f.u.
energy: -4.474 eV/atom
DOS(E_F): 6.29 states/eV per cell

a b c (Å): 8.056 4.660 8.208
angles (deg): 90.00 109.25 90.00
Positions (direct):
Sr1 0.000 0.000 0.000
Sr2 0.500 0.500 0.000
Tb1 0.000 0.500 0.500
Ce1 0.500 0.000 0.500
Bi1 0.241 0.000 0.725
Bi2 0.258 0.500 0.275
Bi3 0.742 0.500 0.725
Bi4 0.759 0.000 0.275

=====

Entry 16:
The following is a GGA-PBE calculation of a relaxed Sr2CeThBi4 crystal, from the Alexandria database.

Summary:
SG: P2/m (10)
size of the total moment: 0.1 μB/f.u.
energy: -4.831 eV/atom
DOS(E_F): 2.36 states/eV per cell

a b c (Å): 8.151 4.705 8.210
angles (deg): 90.00 109.33 90.00
Positions (direct):
Sr1 0.000 0.000 0.000
Sr2 0.500 0.500 0.000
Ce1 0.000 0.500 0.500
Th1 0.500 0.000 0.500
Bi1 0.239 0.000 0.726
Bi2 0.254 0.500 0.271
Bi3 0.746 0.500 0.729
Bi4 0.761 0.000 0.274

=====

Entry 17:
The following is a GGA-PBE calculation of a relaxed Sr4CeTh3Bi8 crystal, from the Alexandria database.

Summary:
SG: R-3m (166)
size of the total moment: 0.1 μB/f.u.
energy: -4.916 eV/atom
DOS(E_F): 3.38 states/eV per cell

a b c (Å): 9.489 9.489 9.489
angles (deg): 59.47 59.47 59.47
Positions (direct):
Sr1 0.000 0.000 0.000
Sr2 0.000 0.500 0.500
Sr3 0.500 0.000 0.500
Sr4 0.500 0.500 0.000
Ce1 0.500 0.500 0.500
Th1 0.000 0.000 0.500
Th2 0.000 0.500 0.000
Th3 0.500 0.000 0.000
Bi1 0.244 0.244 0.244
Bi2 0.245 0.742 0.742
Bi3 0.258 0.258 0.755
Bi4 0.258 0.755 0.258
Bi5 0.742 0.245 0.742
Bi6 0.742 0.742 0.245
Bi7 0.755 0.258 0.258
Bi8 0.756 0.756 0.756

=====

Entry 18:
The following is a GGA-PBE calculation of a relaxed Sr3Ce2ThBi6 crystal, from the Alexandria database.

Summary:
SG: C2/m (12)
size of the total moment: 0.2 μB/f.u.
energy: -4.774 eV/atom
DOS(E_F): 3.22 states/eV per cell

a b c (Å): 8.148 8.148 8.190
angles (deg): 99.55 99.55 120.00
Positions (direct):
Sr1 0.000 0.000 0.000
Sr2 0.334 0.666 0.000
Sr3 0.666 0.334 0.000
Ce1 0.167 0.833 0.500
Ce2 0.833 0.167 0.500
Th1 0.500 0.500 0.500
Bi1 0.088 0.424 0.273
Bi2 0.239 0.239 0.726
Bi3 0.424 0.088 0.273
Bi4 0.576 0.912 0.727
Bi5 0.761 0.761 0.274
Bi6 0.912 0.576 0.727

=====

Entry 19:
The following is a GGA-PBE calculation of a relaxed Sr3CeTh2Bi6 crystal, from the Alexandria database.

Summary:
SG: C2/m (12)
size of the total moment: 0.1 μB/f.u.
energy: -4.888 eV/atom
DOS(E_F): 2.37 states/eV per cell

a b c (Å): 8.150 8.150 8.229
angles (deg): 99.50 99.50 119.99
Positions (direct):
Sr1 0.000 0.000 0.000
Sr2 0.332 0.668 0.000
Sr3 0.668 0.332 0.000
Ce1 0.500 0.500 0.500
Th1 0.166 0.834 0.500
Th2 0.834 0.166 0.500
Bi1 0.093 0.424 0.271
Bi2 0.246 0.246 0.730
Bi3 0.424 0.093 0.271
Bi4 0.576 0.907 0.729
Bi5 0.754 0.754 0.270
Bi6 0.907 0.576 0.729

=====

Entry 20:
The following is a GGA-PBE calculation of a relaxed TbCeBi2 crystal, from the Alexandria database.

Summary:
SG: R-3m (166)
size of the total moment: 0.9 μB/f.u.
energy: -5.419 eV/atom
DOS(E_F): 6.89 states/eV per cell

a b c (Å): 7.871 7.871 7.871
angles (deg): 33.60 33.60 33.60
Positions (direct):
Tb1 0.000 0.000 0.000
Ce1 0.500 0.500 0.500
Bi1 0.252 0.252 0.252
Bi2 0.748 0.748 0.748